Compound: Er2AsIF
Source: OQMD via LeMat-Bulk
Functional: PBE
Structure: relaxed

Electronic total energy: -27.0 eV for the cell shown
Mass density: 7.7 g/cm³
Total moment: 0.01 μB/cell

Cell lengths 3.955, 3.955, 8.789 Å; angles 90.00, 90.00, 120.00 degrees
Fractional coordinates of all 5 atoms:
1 Er 0.000 0.000 0.000
2 Er 0.333 0.667 0.636
3 As 0.667 0.333 0.819
4 I 0.333 0.667 0.236
5 F 0.000 0.000 0.541

Compound: Sr2Er2As2OF2
Source: OQMD via LeMat-Bulk
Functional: PBE
Structure: relaxed

Electronic total energy: -53.2 eV for the cell shown
Mass density: 6.5 g/cm³
Total moment: 0.00 μB/cell

Cell lengths 9.809, 9.809, 9.809 Å; angles 153.81, 153.81, 37.38 degrees
Fractional coordinates of all 9 atoms:
1 Sr 0.186 0.186 0.000
2 Sr 0.814 0.814 0.000
3 Er 0.000 0.500 0.500
4 Er 0.500 0.000 0.500
5 As 0.397 0.397 0.000
6 As 0.603 0.603 0.000
7 O 0.000 0.000 0.000
8 F 0.250 0.750 0.500
9 F 0.750 0.250 0.500

Compound: ErFeAs
Source: OQMD via LeMat-Bulk
Functional: PBE
Structure: relaxed

Electronic total energy: -16.9 eV for the cell shown
Mass density: 7.1 g/cm³
Total moment: 2.88 μB/cell

Cell lengths 4.625, 4.625, 4.625 Å; angles 60.00, 60.00, 60.00 degrees
Fractional coordinates of all 3 atoms:
1 Er 0.000 0.000 0.000
2 Fe 0.250 0.250 0.250
3 As 0.750 0.750 0.750

Compound: ErFeAs
Source: OQMD via LeMat-Bulk
Functional: PBE
Structure: relaxed

Electronic total energy: -18.7 eV for the cell shown
Mass density: 8.1 g/cm³
Total moment: 2.20 μB/cell

Cell lengths 4.426, 4.426, 4.426 Å; angles 60.00, 60.00, 60.00 degrees
Fractional coordinates of all 3 atoms:
1 Er 0.000 0.000 0.000
2 Fe 0.500 0.500 0.500
3 As 0.250 0.250 0.250

Compound: ErGaAs
Source: OQMD via LeMat-Bulk
Functional: PBE
Structure: relaxed

Electronic total energy: -13.0 eV for the cell shown
Mass density: 7.1 g/cm³
Total moment: 0.00 μB/cell

Cell lengths 4.689, 4.689, 4.689 Å; angles 60.00, 60.00, 60.00 degrees
Fractional coordinates of all 3 atoms:
1 Er 0.000 0.000 0.000
2 Ga 0.750 0.750 0.750
3 As 0.500 0.500 0.500

Compound: ErGaAsO
Source: OQMD via LeMat-Bulk
Functional: PBE
Structure: relaxed

Distance to the lowest polymorph of the same formula: 0.1916 eV per atom
Electronic total energy: -45.8 eV for the cell shown
Mass density: 7.7 g/cm³
Total moment: 0.01 μB/cell

Cell lengths 4.463, 5.030, 6.281 Å; angles 90.00, 90.00, 90.00 degrees
Fractional coordinates of all 8 atoms:
1 Er 0.000 0.228 0.000
2 Er 0.000 0.772 0.500
3 Ga 0.500 0.366 0.338
4 Ga 0.500 0.634 0.838
5 As 0.500 0.122 0.692
6 As 0.500 0.878 0.192
7 O 0.000 0.405 0.316
8 O 0.000 0.595 0.816